Material: KCeTlHg
Method: DFT, GGA-PBE
State: optimized geometry

```
data_KCeTlHg
_cell_length_a 5.6023
_cell_length_b 5.6023
_cell_length_c 5.6023
_cell_angle_alpha 60.00
_cell_angle_beta 60.00
_cell_angle_gamma 60.00
_symmetry_space_group_name_H-M 'P 1'
_symmetry_Int_Tables_number 1
loop_
_symmetry_equiv_pos_as_xyz
'x,y,z'
loop_
_atom_site_label
_atom_site_fract_x
_atom_site_fract_y
_atom_site_fract_z
_atom_site_occupancy
K1 0.0000 0.0000 0.0000 1
Ce1 0.5000 0.5000 0.5000 1
Tl1 0.2500 0.2500 0.2500 1
Hg1 0.7500 0.7500 0.7500 1
```

Spin magnetization (μB per formula unit): 1.00


Material: LaCe2Hg6
Method: DFT, GGA-PBE
State: optimized geometry

```
data_LaCe2Hg6
_cell_length_a 8.8366
_cell_length_b 8.8366
_cell_length_c 3.4378
_cell_angle_alpha 90.00
_cell_angle_beta 90.00
_cell_angle_gamma 120.00
_symmetry_space_group_name_H-M 'P 1'
_symmetry_Int_Tables_number 1
loop_
_symmetry_equiv_pos_as_xyz
'x,y,z'
loop_
_atom_site_label
_atom_site_fract_x
_atom_site_fract_y
_atom_site_fract_z
_atom_site_occupancy
La1 0.0000 0.0000 0.0000 1
Ce1 0.3333 0.6667 0.0000 1
Ce2 0.6667 0.3333 0.0000 1
Hg1 0.0000 0.3345 0.5000 1
Hg2 0.0000 0.6655 0.5000 1
Hg3 0.3345 0.0000 0.5000 1
Hg4 0.3345 0.3345 0.5000 1
Hg5 0.6655 0.0000 0.5000 1
Hg6 0.6655 0.6655 0.5000 1
```

Spin magnetization (μB per formula unit): 2.93


Material: La2CeHg
Method: DFT, GGA-PBE
State: optimized geometry

```
data_La2CeHg
_cell_length_a 11.1710
_cell_length_b 11.1710
_cell_length_c 11.1710
_cell_angle_alpha 19.01
_cell_angle_beta 19.01
_cell_angle_gamma 19.01
_symmetry_space_group_name_H-M 'P 1'
_symmetry_Int_Tables_number 1
loop_
_symmetry_equiv_pos_as_xyz
'x,y,z'
loop_
_atom_site_label
_atom_site_fract_x
_atom_site_fract_y
_atom_site_fract_z
_atom_site_occupancy
La1 0.0000 0.0000 0.0000 1
La2 0.1757 0.1757 0.1757 1
Ce1 0.7552 0.7552 0.7552 1
Hg1 0.5876 0.5876 0.5876 1
```

Spin magnetization (μB per formula unit): 1.11


Material: La2CeHg
Method: DFT, GGA-PBE
State: optimized geometry

```
data_La2CeHg
_cell_length_a 3.7245
_cell_length_b 3.7245
_cell_length_c 8.8982
_cell_angle_alpha 90.00
_cell_angle_beta 90.00
_cell_angle_gamma 90.00
_symmetry_space_group_name_H-M 'P 1'
_symmetry_Int_Tables_number 1
loop_
_symmetry_equiv_pos_as_xyz
'x,y,z'
loop_
_atom_site_label
_atom_site_fract_x
_atom_site_fract_y
_atom_site_fract_z
_atom_site_occupancy
La1 0.0000 0.0000 0.2367 1
La2 0.0000 0.0000 0.7633 1
Ce1 0.5000 0.5000 0.5000 1
Hg1 0.5000 0.5000 0.0000 1
```

Spin magnetization (μB per formula unit): 0.15


no.,VASP energy (eV/atom)
1,-2.49
2,-2.47
3,-4.11
4,-4.23